(1)
First-principles (PBE) data for crystalline Pr6Tl2C at its relaxed geometry, as listed in Alexandria.

**E above lowest polymorph**: 0 meV/atom
**V**: 29.9 Å³/atom
**Magnetization**: 1.0 μB per formula unit
**SG**: Fm-3m, No. 225

a = 7.2436 Å, b = 7.2443 Å, c = 10.2480 Å
α = 90.00°, β = 90.01°, γ = 90.00°
With the nearest neighbours (Å) after each atom.
Element x y z (fractional)
Pr 0.2447 0.2447 0.5000  1 C 2.51
Pr 0.9997 0.0003 0.2556  1 C 2.51
C 0.0000 0.0000 0.5000  6 Pr 2.51
Pr 0.7553 0.7553 0.5000  1 C 2.51
Pr 0.5003 0.5003 0.2444  1 C 2.51
Pr 0.2553 0.7447 0.0000  1 C 2.51
C 0.5000 0.5000 0.0000  6 Pr 2.51
Tl 0.0000 0.5003 0.2500  12 Pr 3.62-3.63
Pr 0.7447 0.2553 0.0000  1 C 2.51
Pr 0.7447 0.7446 0.9998  1 C 2.51
Tl 0.0000 0.4997 0.7500  12 Pr 3.62-3.63
Pr 0.7553 0.2446 0.5002  1 C 2.51
Pr 0.4997 0.4997 0.7556  1 C 2.51
Pr 0.0003 0.9997 0.7444  1 C 2.51
Pr 0.2553 0.2554 0.0002  1 C 2.51
Pr 0.2447 0.7554 0.4998  1 C 2.51
Tl 0.5000 0.0003 0.2500  12 Pr 3.62-3.63
Tl 0.5000 0.9997 0.7500  12 Pr 3.62-3.63



(2)
First-principles (PBE) data for crystalline PrTlC at its relaxed geometry, as listed in Alexandria.

**Final energy**: -5.616 eV per atom
**V**: 23.9 Å³/atom
**Magnetization**: 0.0 μB per formula unit
**SG**: P-1, No. 2

a = 3.9497 Å, b = 4.6580 Å, c = 9.2663 Å
α = 108.30°, β = 90.64°, γ = 116.09°
With the nearest neighbours (Å) after each atom.
Element x y z (fractional)
Tl 0.3191 0.6315 0.4112  3 Tl 2.94-3.03
Tl 0.6809 0.3685 0.5888  3 Tl 2.94-3.03
Pr 0.9166 0.8200 0.1553  3 C 2.55-2.64
C 0.5833 0.1703 0.0328  1 C 1.34
C 0.4167 0.8297 0.9672  1 C 1.34
Pr 0.0834 0.1800 0.8447  3 C 2.55-2.64



(3)
First-principles (PBE) data for crystalline PrTm2TlC at its relaxed geometry, as listed in Alexandria.

**Final energy**: -5.451 eV per atom
**V**: 24.5 Å³/atom
**Magnetization**: 0.0 μB per formula unit
**SG**: P4/mmm, No. 123

a = 5.1702 Å, b = 4.8686 Å, c = 4.8686 Å
α = 90.00°, β = 90.00°, γ = 90.00°
With the nearest neighbours (Å) after each atom.
Element x y z (fractional)
Pr 0.5000 0.0000 0.0000  2 C 2.59
Tm 0.0000 0.0000 0.5000  2 C 2.43
C 0.0000 0.0000 0.0000  4 Tm 2.43, 2 Pr 2.59
Tm 0.0000 0.5000 0.0000  2 C 2.43
Tl 0.5000 0.5000 0.5000  4 Pr 3.44, 8 Tm 3.55



(4)
First-principles (PBE) data for crystalline PrY2TlC at its relaxed geometry, as listed in Alexandria.

**Final energy**: -6.251 eV per atom
**V**: 25.4 Å³/atom
**Magnetization**: 0.0 μB per formula unit
**SG**: P4/mmm, No. 123

a = 5.1776 Å, b = 4.9505 Å, c = 4.9505 Å
α = 90.00°, β = 90.00°, γ = 90.00°
With the nearest neighbours (Å) after each atom.
Element x y z (fractional)
Y 0.0000 0.0000 0.5000  2 C 2.48
Pr 0.5000 0.0000 0.0000  2 C 2.59
Tl 0.5000 0.5000 0.5000  4 Pr 3.50, 8 Y 3.58
Y 0.0000 0.5000 0.0000  2 C 2.48
C 0.0000 0.0000 0.0000  4 Y 2.48, 2 Pr 2.59



Among the records above, which one has the lowest V? PrTlC



Which of these has the highest magnetization? Pr6Tl2C